[1]
Below is LuBrO after structural relaxation, with properties calculated at the PBE level.

The structure belongs to space group P3m1 (No. 156); the cell edges are 3.5972, 3.5972 and 6.0273 Å and the angles 90.00°, 90.00° and 120.00°. The asymmetric unit holds Lu at (0.0000, 0.0000, 0.0000), Br at (0.3333, 0.6667, 0.6696) and O at (0.6667, 0.3333, 0.0964).

For the uncorrected energy, the calculation gives -6.47 eV per atom.

---

[2]
Below is Tc2MoP2 after structural relaxation, with properties calculated at the PBE level.

The structure belongs to space group P4/mbm (No. 127); the cell edges are 6.8625, 6.8625 and 2.9017 Å and the angles 90.00°, 90.00° and 90.00°. The asymmetric unit holds Tc at (0.1447, 0.3553, 0.0000), Mo at (0.0000, 0.0000, 0.5000) and P at (0.1586, 0.6586, 0.5000).

For the formation energy from the elements, the calculation gives -1.2 eV per formula unit.

---

[3]
Below is TmHfCd2 after structural relaxation, with properties calculated at the PBE level.

The structure belongs to space group P4/mmm (No. 123); the cell edges are 3.5749, 3.5749 and 7.2258 Å and the angles 90.00°, 90.00° and 90.00°. The asymmetric unit holds Tm at (0.0000, 0.0000, 0.0000), Hf at (0.0000, 0.0000, 0.5000) and Cd at (0.5000, 0.5000, 0.2652).

As for the energy above the most stable polymorph in this dataset: 0 meV per atom. For the formation energy from the elements, the calculation gives -0.3 eV per formula unit.

---

[4]
Below is UMnWC3 after structural relaxation, with properties calculated at the PBE level.

The structure belongs to space group P2_1/m (No. 11); the cell edges are 6.6940, 3.0715 and 7.3841 Å and the angles 90.00°, 102.13° and 90.00°. The asymmetric unit holds U at (0.1767, 0.2500, 0.2031), Mn at (0.1196, 0.2500, 0.6010), W at (0.3478, 0.7500, 0.8692), C at (0.1183, 0.2500, 0.8676), C at (0.1840, 0.7500, 0.4732) and C at (0.4326, 0.7500, 0.1635).

For the formation energy from the elements, the calculation gives -0.1 eV per formula unit.

---

[5]
Below is PrPd3Au9 after structural relaxation, with properties calculated at the PBE level.

The structure belongs to space group C2/m (No. 12); the cell edges are 5.6327, 13.1864 and 7.1997 Å and the angles 90.00°, 112.18° and 90.00°. The asymmetric unit holds Pr at (0.0000, 0.0000, 0.0000), Pd at (0.0000, 0.0000, 0.5000), Pd at (0.2500, 0.2500, 0.0000), Au at (0.0000, 0.5000, 0.5000), Au at (0.1090, 0.3913, 0.2148) and Au at (0.1575, 0.1726, 0.3377).

For the formation energy from the elements, the calculation gives -3.5 eV per formula unit.

---

[6]
Below is Ac7Tb2Pm2 after structural relaxation, with properties calculated at the PBE level.

The structure belongs to space group C2/m (No. 12); the cell edges are 13.2931, 10.5871 and 6.7289 Å and the angles 90.00°, 96.78° and 90.00°. The asymmetric unit holds Ac at (0.0000, 0.0000, 0.0000), Ac at (0.0486, 0.5000, 0.2608), Ac at (0.2389, 0.3273, 0.7523), Tb at (0.0000, 0.1736, 0.5000) and Pm at (0.2018, 0.0000, 0.7096).

For the formation energy from the elements, the calculation gives 2.7 eV per formula unit.

---

[7]
Below is NaPb6Au after structural relaxation, with properties calculated at the PBE level.

The structure belongs to space group C2/m (No. 12); the cell edges are 6.7685, 11.6792 and 6.5752 Å and the angles 90.00°, 111.88° and 90.00°. The asymmetric unit holds Na at (0.0000, 0.0000, 0.0000), Pb at (0.0359, 0.5000, 0.2629), Pb at (0.2114, 0.2389, 0.7356) and Au at (0.0000, 0.0000, 0.5000).

For the formation energy from the elements, the calculation gives -0.1 eV per formula unit.

---

[8]
Below is Sr5Ag2Pb after structural relaxation, with properties calculated at the PBE level.

The structure belongs to space group I4/mcm (No. 140); the cell edges are 8.6162, 8.6162 and 15.9641 Å and the angles 90.00°, 90.00° and 90.00°. The asymmetric unit holds Sr at (0.0000, 0.0000, 0.0000), Sr at (0.1717, 0.3283, 0.1424), Ag at (0.1195, 0.3805, 0.5000) and Pb at (0.0000, 0.0000, 0.2500).

For the formation energy from the elements, the calculation gives -2.9 eV per formula unit.